[1]
# La2AlNi PBE-GGA optimized geometry
# theoretical density	6.74	Mg/m³
# total moment	0.0	μB/f.u.
# DFT formation energy	-44.9	meV/atom
data_La2AlNi
_space_group_name_H-M_alt 'P 1'
_space_group_IT_number 1
_cell_length_a 5.021
_cell_length_b 5.021
_cell_length_c 5.021
_cell_angle_alpha 60.00
_cell_angle_beta 60.00
_cell_angle_gamma 60.00
loop_
_space_group_symop_operation_xyz
'x,y,z'
loop_
_atom_site_label
_atom_site_type_symbol
_atom_site_fract_x
_atom_site_fract_y
_atom_site_fract_z
La1 La 0.000 0.000 0.000
La2 La 0.250 0.250 0.250
Al1 Al 0.750 0.750 0.750
Ni1 Ni 0.500 0.500 0.500

=====

[2]
# KTi4Cu3O12 PBE-GGA optimized geometry
# uncorrected formation energy	-41.37	eV per formula unit
# theoretical density	4.89	Mg/m³
# total moment	1.8	μB/f.u.
data_KTi4Cu3O12
_space_group_name_H-M_alt 'P 1'
_space_group_IT_number 1
_cell_length_a 6.469
_cell_length_b 6.469
_cell_length_c 6.469
_cell_angle_alpha 109.47
_cell_angle_beta 109.47
_cell_angle_gamma 109.47
loop_
_space_group_symop_operation_xyz
'x,y,z'
loop_
_atom_site_label
_atom_site_type_symbol
_atom_site_fract_x
_atom_site_fract_y
_atom_site_fract_z
K1 K 0.000 0.000 0.000
Ti1 Ti 0.000 0.000 0.500
Ti2 Ti 0.000 0.500 0.000
Ti3 Ti 0.500 0.000 0.000
Ti4 Ti 0.500 0.500 0.500
Cu1 Cu 0.000 0.500 0.500
Cu2 Cu 0.500 0.000 0.500
Cu3 Cu 0.500 0.500 0.000
O1 O 0.133 0.312 0.820
O2 O 0.180 0.492 0.312
O3 O 0.180 0.867 0.688
O4 O 0.312 0.180 0.492
O5 O 0.312 0.820 0.133
O6 O 0.492 0.312 0.180
O7 O 0.508 0.688 0.820
O8 O 0.688 0.180 0.867
O9 O 0.688 0.820 0.508
O10 O 0.820 0.133 0.312
O11 O 0.820 0.508 0.688
O12 O 0.867 0.688 0.180